Entry 1:
The following is a GGA-PBE calculation of a relaxed La2ErAu4 crystal, from Alexandria.

Output
As for the formation energy from the elements: -699 meV/atom.

a = 7.6057 Å, b = 7.6057 Å, c = 7.6057 Å
α = 139.02°, β = 139.02°, γ = 59.35°
Positions (direct):
La: 0.2169 0.2169 0.0000
La: 0.7831 0.7831 0.0000
Er: 0.5000 0.5000 0.0000
Au: 0.1109 0.6109 0.5000
Au: 0.3891 0.8891 0.5000
Au: 0.6109 0.1109 0.5000
Au: 0.8891 0.3891 0.5000


Entry 2:
The following is a GGA-PBE calculation of a relaxed LaErAu4 crystal, from Alexandria.

Output
As for the formation energy from the elements: -805 meV/atom.

a = 3.7968 Å, b = 3.7968 Å, c = 9.3574 Å
α = 90.00°, β = 90.00°, γ = 90.00°
Positions (direct):
La: 0.0000 0.0000 0.0000
Er: 0.5000 0.5000 0.5000
Au: 0.0000 0.0000 0.3433
Au: 0.0000 0.0000 0.6567
Au: 0.5000 0.5000 0.1795
Au: 0.5000 0.5000 0.8205


Entry 3:
The following is a GGA-PBE calculation of a relaxed La3ErAu7 crystal, from Alexandria.

Output
As for the formation energy from the elements: -744 meV/atom.

a = 11.0061 Å, b = 11.0061 Å, c = 13.3922 Å
α = 90.00°, β = 90.00°, γ = 159.80°
Positions (direct):
La: 0.1315 0.8685 0.5490
La: 0.1315 0.8685 0.9510
La: 0.2127 0.7873 0.2500
La: 0.7873 0.2127 0.7500
La: 0.8685 0.1315 0.0490
La: 0.8685 0.1315 0.4510
Er: 0.0091 0.9909 0.2500
Er: 0.9909 0.0091 0.7500
Au: 0.2749 0.7251 0.5671
Au: 0.2749 0.7251 0.9329
Au: 0.3818 0.6182 0.2500
Au: 0.3958 0.6042 0.6439
Au: 0.3958 0.6042 0.8561
Au: 0.4770 0.5230 0.0935
Au: 0.4770 0.5230 0.4065
Au: 0.5230 0.4770 0.5935
Au: 0.5230 0.4770 0.9065
Au: 0.6042 0.3958 0.1439
Au: 0.6042 0.3958 0.3561
Au: 0.6182 0.3818 0.7500
Au: 0.7251 0.2749 0.0671
Au: 0.7251 0.2749 0.4329


Entry 4:
The following is a GGA-PBE calculation of a relaxed LaEr2Au3 crystal, from Alexandria.

Output
As for the formation energy from the elements: -851 meV/atom.

a = 3.5998 Å, b = 3.5998 Å, c = 11.1122 Å
α = 90.00°, β = 90.00°, γ = 90.00°
Positions (direct):
La: 0.0000 0.0000 0.0000
Er: 0.0000 0.0000 0.3396
Er: 0.0000 0.0000 0.6604
Au: 0.5000 0.5000 0.1910
Au: 0.5000 0.5000 0.5000
Au: 0.5000 0.5000 0.8090


Entry 5:
The following is a GGA-PBE calculation of a relaxed LiLaEr2Au4 crystal, from Alexandria.

Output
As for the formation energy from the elements: -760 meV/atom.

a = 9.0321 Å, b = 9.0321 Å, c = 9.0321 Å
α = 31.95°, β = 31.95°, γ = 31.95°
Positions (direct):
Li: 0.0000 0.0000 0.0000
La: 0.5000 0.5000 0.5000
Er: 0.2641 0.2641 0.2641
Er: 0.7359 0.7359 0.7359
Au: 0.1065 0.1065 0.1065
Au: 0.3784 0.3784 0.3784
Au: 0.6216 0.6216 0.6216
Au: 0.8935 0.8935 0.8935


Entry 6:
The following is a GGA-PBE calculation of a relaxed LiLaErAu crystal, from Alexandria.

Output
As for the formation energy from the elements: -355 meV/atom.

a = 5.2315 Å, b = 5.2315 Å, c = 5.2315 Å
α = 60.00°, β = 60.00°, γ = 60.00°
Positions (direct):
Li: 0.0000 0.0000 0.0000
La: 0.2500 0.2500 0.2500
Er: 0.7500 0.7500 0.7500
Au: 0.5000 0.5000 0.5000


Entry 7:
The following is a GGA-PBE calculation of a relaxed LaErNiAu crystal, from Alexandria.

Output
As for the formation energy from the elements: -521 meV/atom.

a = 5.0751 Å, b = 5.0751 Å, c = 5.0751 Å
α = 60.00°, β = 60.00°, γ = 60.00°
Positions (direct):
La: 0.0000 0.0000 0.0000
Er: 0.5000 0.5000 0.5000
Ni: 0.2500 0.2500 0.2500
Au: 0.7500 0.7500 0.7500


Entry 8:
The following is a GGA-PBE calculation of a relaxed LaErOsAu crystal, from Alexandria.

Output
As for the formation energy from the elements: -376 meV/atom.

a = 5.0493 Å, b = 5.0493 Å, c = 5.0493 Å
α = 60.00°, β = 60.00°, γ = 60.00°
Positions (direct):
La: 0.0000 0.0000 0.0000
Er: 0.5000 0.5000 0.5000
Os: 0.7500 0.7500 0.7500
Au: 0.2500 0.2500 0.2500